ZrFe8W3 (PBE, optimized geometry); uncorrected energy = -9.634 eV/atom; space group = P3m1; energy of formation = -42 meV/atom; volume = 12.784 A^3/atom
1.0
4.746 0.000 0.000
-2.373 4.110 0.000
0.000 0.000 7.863
Zr Fe W
1 8 3
Cartesian
0.000 0.000 0.000
0.000 1.355 5.359
-1.200 3.433 5.359
0.000 2.740 3.416
0.000 2.740 7.337
2.373 0.027 1.471
1.210 2.042 1.471
1.200 3.433 5.359
3.536 2.042 1.471
0.000 0.000 2.988
2.373 1.370 3.872
2.373 1.370 6.647

=====

Nd5ScIn3 (PBE, optimized geometry); uncorrected energy = -4.589 eV/atom; space group = P6_3/mcm; energy of formation = -324 meV/atom; volume = 29.869 A^3/atom
1.0
9.550 0.000 0.000
-4.775 8.270 0.000
0.000 0.000 6.807
Nd Sc In
10 2 6
Cartesian
-1.562 2.705 1.702
-3.213 5.565 5.105
3.123 0.000 1.702
1.562 2.705 5.105
0.000 5.514 0.000
0.000 5.514 3.403
4.775 2.757 0.000
4.775 2.757 3.403
6.426 0.000 5.105
3.213 5.565 1.702
0.000 0.000 0.000
0.000 0.000 3.403
-1.584 2.743 5.105
-3.191 5.527 1.702
3.167 0.000 5.105
1.584 2.743 1.702
6.382 0.000 1.702
3.191 5.527 5.105

=====

NdCo2 (PBE, optimized geometry); uncorrected energy = -6.402 eV/atom; space group = P6/mmm; energy of formation = -75 meV/atom; volume = 18.519 A^3/atom
1.0
3.898 0.000 0.000
-1.949 3.375 0.000
0.000 0.000 4.223
Nd Co
1 2
Cartesian
0.000 0.000 0.000
0.000 2.250 2.111
1.949 1.125 2.111

=====

AcSmY2 (PBE, optimized geometry); uncorrected energy = -5.399 eV/atom; space group = R-3m; energy above the most stable polymorph in this dataset = 0.0 kJ/mol of atoms; energy of formation = 40 meV/atom; volume = 35.342 A^3/atom
1.0
3.718 0.000 0.000
-1.859 3.220 0.000
0.000 0.000 35.417
Ac Sm Y
3 3 6
Cartesian
0.000 0.000 0.000
0.000 2.147 23.611
1.859 1.073 11.806
0.000 0.000 17.708
0.000 2.147 5.903
1.859 1.073 29.514
0.000 0.000 8.771
0.000 0.000 26.645
0.000 2.147 14.840
0.000 2.147 32.382
1.859 1.073 3.034
1.859 1.073 20.577

=====

TcSb2Pb (PBE, optimized geometry); uncorrected energy = -5.484 eV/atom; space group = Cm; volume = 25.724 A^3/atom; ΔE_f (raw) = 37 kJ/mol of formula units
1.0
9.416 0.000 0.000
0.000 3.377 0.000
-2.267 0.000 6.472
Tc Sb Pb
2 4 2
Cartesian
0.000 0.000 0.000
4.708 1.689 0.000
-0.201 1.689 2.108
-0.223 1.689 6.301
4.507 0.000 2.108
4.485 0.000 6.301
2.010 0.000 3.991
6.718 1.689 3.991

=====

GdYLu2 (PBE, optimized geometry); uncorrected energy = -7.295 eV/atom; space group = Fm-3m; energy above the most stable polymorph in this dataset = 6.6 kJ/mol of atoms; energy of formation = 102 meV/atom; volume = 31.181 A^3/atom
1.0
7.931 0.000 0.000
0.000 7.931 0.000
0.000 0.000 7.931
Gd Y Lu
4 4 8
Cartesian
0.000 0.000 0.000
0.000 3.966 3.966
3.966 0.000 3.966
3.966 3.966 0.000
0.000 0.000 3.966
0.000 3.966 0.000
3.966 0.000 0.000
3.966 3.966 3.966
1.983 1.983 1.983
1.983 1.983 5.948
1.983 5.948 1.983
1.983 5.948 5.948
5.948 1.983 1.983
5.948 1.983 5.948
5.948 5.948 1.983
5.948 5.948 5.948